Entry 1:
4
Lattice="0.000 4.131 4.131 4.131 0.000 4.131 4.131 4.131 0.000" Properties=species:S:1:pos:R:3 comment="CsCa2Fe (GGA-PBE, optimized geometry)" crystal_system=cubic delta_e_f_ev_per_atom=0.83 total_magnetization_mub_per_cell=2.266 final_energy_ev_per_atom=-2.50 pbc="T T T"
Fe 0.000 0.000 0.000
Ca 6.196 6.196 6.196
Ca 2.065 2.065 2.065
Cs 4.131 4.131 4.131

---

Entry 2:
21
Lattice="4.190 0.000 0.000 0.000 8.519 -4.918 0.000 0.000 9.837" Properties=species:S:1:pos:R:3 comment="Ac2P7Pd12 (GGA-PBE, optimized geometry)" crystal_system=trigonal delta_e_f_ev_per_atom=-0.69 total_magnetization_mub_per_cell=0.000 final_energy_ev_per_atom=-5.85 pbc="T T T"
P 1.037 3.450 -0.936
P 1.037 5.983 2.399
P 3.153 5.069 5.854
P 2.095 0.000 0.000
P 1.037 7.605 -1.463
P 3.153 2.535 2.520
P 3.153 0.914 6.381
Ac 1.047 2.840 4.918
Ac 3.143 5.679 0.000
Pd 3.208 7.323 -3.206
Pd 1.059 8.027 0.937
Pd 0.982 6.438 4.739
Pd 1.059 3.693 1.564
Pd 3.131 3.202 7.420
Pd 3.131 4.825 3.354
Pd 3.131 0.492 3.981
Pd 3.208 7.634 3.026
Pd 1.059 5.317 -2.502
Pd 0.982 1.196 8.124
Pd 0.982 0.885 1.892
Pd 3.208 2.081 0.179

---

Entry 3:
7
Lattice="-0.725 0.970 3.554 -4.127 -1.751 -2.348 3.141 -5.527 2.150" Properties=species:S:1:pos:R:3 comment="Ga2Pd3Au2 (GGA-PBE, optimized geometry)" crystal_system=monoclinic delta_e_f_ev_per_atom=-0.38 total_magnetization_mub_per_cell=0.000 final_energy_ev_per_atom=-4.41 pbc="T T T"
Pd -0.363 0.485 1.777
Pd -0.159 -2.237 2.562
Pd -1.552 -4.070 0.794
Au -3.082 -1.839 1.856
Au 1.371 -4.468 1.500
Ga -0.988 -1.549 0.221
Ga -0.723 -4.758 3.135

---

Entry 4:
4
Lattice="-4.015 0.317 2.994 -3.564 -3.528 -0.199 -0.554 -3.225 3.805" Properties=species:S:1:pos:R:3 comment="TbDyGePt (GGA-PBE, optimized geometry)" crystal_system=cubic delta_e_f_ev_per_atom=-0.94 total_magnetization_mub_per_cell=0.000 final_energy_ev_per_atom=-5.91 pbc="T T T"
Dy -2.033 -1.609 1.650
Pt 0.000 0.000 0.000
Ge -4.066 -3.218 3.300
Tb -6.099 -4.826 4.950